#1
! K2CoMo (PBE, optimized geometry); values from VASP
&SYSTEM
  ibrav = 0, nat = 4, ntyp = 3
/
ATOMIC_SPECIES
Co 58.93 Co.upf
K 39.10 K.upf
Mo 95.94 Mo.upf
CELL_PARAMETERS angstrom
-1.9644 -1.8237 0.7215
2.1821 -0.4149 1.6649
-4.3610 7.7199 7.6394
ATOMIC_POSITIONS crystal
Co 0.5000 0.5000 0.7500
K 0.0000 0.0000 0.9853
K 0.0000 0.0000 0.5147
Mo 0.5000 0.5000 0.2500
! Calculated density, g/cm3: 4.50
! Space-group type: Cmmm (65)
! Magnetization, μB/atom: 0.394
! DOS at the Fermi energy, states/eV per cell: 4.285

=====

#2
! K2CoMo (PBE, optimized geometry); values from VASP
&SYSTEM
  ibrav = 0, nat = 4, ntyp = 3
/
ATOMIC_SPECIES
Co 58.93 Co.upf
K 39.10 K.upf
Mo 95.94 Mo.upf
CELL_PARAMETERS angstrom
-0.5087 -4.5708 -4.4749
-2.7454 -5.7964 0.2006
-0.6729 6.2445 1.3150
ATOMIC_POSITIONS crystal
Co 0.7500 0.2500 0.5000
K 0.0000 0.0000 0.0000
K 0.5000 0.5000 0.0000
Mo 0.2500 0.7500 0.5000
! Calculated density, g/cm3: 4.67
! Space-group type: I4/mmm (139)
! Magnetization, μB/atom: 0.000
! DOS at the Fermi energy, states/eV per cell: 2.526

=====

#3
! K2CoMo (PBE, optimized geometry); values from VASP
&SYSTEM
  ibrav = 0, nat = 4, ntyp = 3
/
ATOMIC_SPECIES
Co 58.93 Co.upf
K 39.10 K.upf
Mo 95.94 Mo.upf
CELL_PARAMETERS angstrom
3.2621 0.0000 0.0000
0.0000 3.2514 0.0158
0.0000 3.2851 10.6377
ATOMIC_POSITIONS crystal
Co 0.5000 0.8324 0.6677
K 0.0000 0.0799 0.9107
K 0.5000 0.1784 0.3290
Mo 0.0000 0.4094 0.5926
! Calculated density, g/cm3: 3.44
! Space-group type: Pm (6)
! Magnetization, μB/atom: 0.000
! DOS at the Fermi energy, states/eV per cell: 4.850

=====

Which structure wins on stability? #3 wins.